1.
GGA-PBEsol TaFeMoPt2, optimized geometry; SG = No. 123; ΔE_f = 965 meV per atom; Fermi-level density of states = 5.300 states/eV/f.u.
1.0
4.516 0.000 0.000
0.000 4.516 0.000
0.000 0.000 4.196
Ta Fe Mo Pt
1 1 1 2
direct
0.000 0.000 0.000
0.500 0.500 0.500
0.500 0.500 0.000
0.000 0.500 0.500
0.500 0.000 0.500

2.
GGA-PBEsol KTl8, optimized geometry; SG = No. 139; ΔE_f = -34 meV per atom; Fermi-level density of states = 3.751 states/eV/f.u.
1.0
-5.114 5.114 2.459
5.114 -5.114 2.459
5.114 5.114 -2.459
K Tl
1 8
direct
0.000 0.000 0.000
0.000 0.342 0.342
0.000 0.658 0.658
0.327 0.327 0.654
0.327 0.673 0.000
0.342 0.000 0.342
0.658 0.000 0.658
0.673 0.327 0.000
0.673 0.673 0.346

3.
GGA-PBEsol NiAs2, optimized geometry; SG = No. 58; ΔE_f = -298 meV per atom; Fermi-level density of states = 1.195 states/eV/f.u.
1.0
4.712 0.000 0.000
0.000 5.752 0.000
0.000 0.000 3.535
Ni As
2 4
direct
0.000 0.000 0.000
0.500 0.500 0.500
0.207 0.367 0.000
0.293 0.867 0.500
0.707 0.133 0.500
0.793 0.633 0.000

4.
GGA-PBEsol LiTaNi, optimized geometry; SG = No. 216; ΔE_f = 899 meV per atom; Fermi-level density of states = 3.521 states/eV/f.u.; E above lowest polymorph = 0.717 eV/atom
1.0
0.000 2.855 2.855
2.855 0.000 2.855
2.855 2.855 0.000
Li Ta Ni
1 1 1
direct
0.000 0.000 0.000
0.250 0.250 0.250
0.500 0.500 0.500

5.
GGA-PBEsol Ta2MnCu, optimized geometry; SG = No. 99; ΔE_f = 181 meV per atom; Fermi-level density of states = 3.321 states/eV/f.u.
1.0
2.776 0.000 0.000
0.000 2.776 0.000
0.000 0.000 7.748
Ta Mn Cu
2 1 1
direct
0.000 0.000 0.000
0.500 0.500 0.298
0.500 0.500 0.750
0.000 0.000 0.544

6.
GGA-PBEsol CaSn2O4, optimized geometry; E_form (uncorrected) = -1.9329 eV per atom; SG = No. 74
1.0
-3.135 3.723 4.569
3.135 -3.723 4.569
3.135 3.723 -4.569
Ca Sn O
2 4 8
direct
0.000 0.000 0.000
0.500 0.000 0.500
0.000 0.000 0.500
0.000 0.500 0.000
0.381 0.631 0.750
0.619 0.369 0.250
0.185 0.249 0.936
0.187 0.751 0.436
0.231 0.223 0.492
0.231 0.739 0.008
0.769 0.261 0.992
0.769 0.777 0.508
0.813 0.249 0.564
0.815 0.751 0.064

7.
GGA-PBEsol TlGa2BiIr, optimized geometry; SG = No. 123; ΔE_f = 1507 meV per atom; Fermi-level density of states = 4.490 states/eV/f.u.
1.0
4.912 0.000 0.000
0.000 4.912 0.000
0.000 0.000 5.733
Tl Ga Bi Ir
1 2 1 1
direct
0.000 0.000 0.000
0.000 0.500 0.000
0.500 0.000 0.000
0.000 0.000 0.500
0.500 0.500 0.500

8.
GGA-PBEsol La2BeAs, optimized geometry; SG = No. 119; ΔE_f = -373 meV per atom; Fermi-level density of states = 3.008 states/eV/f.u.; E above lowest polymorph = 0.034 eV/atom
1.0
-2.144 2.144 5.009
2.144 -2.144 5.009
2.144 2.144 -5.009
La Be As
2 1 1
direct
0.000 0.000 0.000
0.750 0.250 0.500
0.250 0.750 0.500
0.500 0.500 0.000